[1]
DFT (PBE) results for KCoAs2 after structural relaxation.

Lattice parameters (Å, degrees): 5.3783 5.3783 14.5586 90.00 90.00 90.00
Space group I4_1/amd (No. 141, origin choice 2)
Asymmetric unit:
K 0.0000 0.2500 0.3750 (multiplicity 4)
Co 0.0000 0.2500 0.8750 (multiplicity 4)
As 0.0000 0.0000 0.0000 (multiplicity 8)

As for the offset from the most stable computed form: 135.7 meV/atom. For the spin magnetization, the calculation gives 0.00 μB per formula unit. As for the theoretical density: 3.910 g/cm³. The density of states at the Fermi level comes out at 2.256 states/eV/f.u. Its formation energy is -0.11 eV/atom.

***

[2]
DFT (PBE) results for Li4Ce3PdS8 after structural relaxation.

Lattice parameters (Å, degrees): 13.5806 7.6789 7.5512 90.00 121.55 90.00
Space group C2/m (No. 12)
Asymmetric unit:
Li 0.0000 0.0000 0.0000 (multiplicity 2)
Li 0.0000 0.5000 0.0000 (multiplicity 2)
Li 0.2500 0.2500 0.5000 (multiplicity 4)
Ce 0.0000 0.0000 0.5000 (multiplicity 2)
Ce 0.2500 0.2500 0.0000 (multiplicity 4)
Pd 0.0000 0.5000 0.5000 (multiplicity 2)
S 0.0070 0.2797 0.7406 (multiplicity 8)
S 0.2100 0.0000 0.2150 (multiplicity 4)
S 0.2437 0.0000 0.7286 (multiplicity 4)

For the spin magnetization, the calculation gives 2.02 μB per formula unit. As for the theoretical density: 4.014 g/cm³. For the energy relative to the elements, uncorrected, the calculation gives -1.462 eV/atom. The density of states at the Fermi level comes out at 15.533 states/eV/f.u.

***

[3]
DFT (PBE) results for Cd2GaCl after structural relaxation.

Lattice parameters (Å, degrees): 7.3526 7.3526 7.3526 90.00 90.00 90.00
Space group Fm-3m (No. 225)
Asymmetric unit:
Cd 0.2500 0.2500 0.2500 (multiplicity 8)
Ga 0.0000 0.0000 0.0000 (multiplicity 4)
Cl 0.0000 0.0000 0.5000 (multiplicity 4)

As for the offset from the most stable computed form: 113.3 meV/atom. For the spin magnetization, the calculation gives 0.00 μB per formula unit. As for the theoretical density: 5.514 g/cm³. For the energy relative to the elements, uncorrected, the calculation gives -0.036 eV/atom. The density of states at the Fermi level comes out at 0.887 states/eV/f.u.